# CaGeO3, optimized geometry, DFT GGA-PBEsol
data_CaGeO3
_chemical_formula_sum 'Ca6 Ge6 O18'
_cell_length_a 5.1597
_cell_length_b 5.1597
_cell_length_c 15.0963
_cell_angle_alpha 90.00
_cell_angle_beta 90.00
_cell_angle_gamma 120.00
_symmetry_space_group_name_H-M 'R -3'
_symmetry_Int_Tables_number 148
_symmetry_space_group_name_Hall '-R 3'
loop_
_atom_site_label
_atom_site_type_symbol
_atom_site_fract_x
_atom_site_fract_y
_atom_site_fract_z
Ca1 Ca 0.0000 0.0000 0.1350
Ge1 Ge 0.0000 0.0000 0.3411
O1 O 0.0106 0.6122 0.9279
# - ΔE_f (raw): -2314.7 meV/atom
# - Total moment: 0.00 μB/f.u.
# - Crystal system: trigonal


# Ca3GeO, optimized geometry, DFT GGA-PBEsol
data_Ca3GeO
_chemical_formula_sum 'Ca3 Ge1 O1'
_cell_length_a 4.6763
_cell_length_b 4.6763
_cell_length_c 4.6763
_cell_angle_alpha 90.00
_cell_angle_beta 90.00
_cell_angle_gamma 90.00
_symmetry_space_group_name_H-M 'P m -3 m'
_symmetry_Int_Tables_number 221
_symmetry_space_group_name_Hall '-P 4 2 3'
loop_
_atom_site_label
_atom_site_type_symbol
_atom_site_fract_x
_atom_site_fract_y
_atom_site_fract_z
Ca1 Ca 0.0000 0.0000 0.5000
Ge1 Ge 0.5000 0.5000 0.5000
O1 O 0.0000 0.0000 0.0000
# - ΔE_f (raw): -1617.0 meV/atom
# - Total moment: 0.00 μB/f.u.
# - Crystal system: cubic


# CaGeO3, optimized geometry, DFT GGA-PBEsol
data_CaGeO3
_chemical_formula_sum 'Ca12 Ge12 O36'
_cell_length_a 8.4110
_cell_length_b 9.5063
_cell_length_c 10.7399
_cell_angle_alpha 74.17
_cell_angle_beta 89.65
_cell_angle_gamma 77.44
_symmetry_space_group_name_H-M 'P -1'
_symmetry_Int_Tables_number 2
_symmetry_space_group_name_Hall '-P 1'
loop_
_atom_site_label
_atom_site_type_symbol
_atom_site_fract_x
_atom_site_fract_y
_atom_site_fract_z
Ca1 Ca 0.0757 0.1473 0.1692
Ca2 Ca 0.0767 0.1587 0.5085
Ca3 Ca 0.2459 0.5000 0.4915
Ca4 Ca 0.2624 0.4958 0.9926
Ca5 Ca 0.4037 0.8525 0.9899
Ca6 Ca 0.4213 0.8513 0.3395
Ge1 Ge 0.0009 0.5030 0.2472
Ge2 Ge 0.1009 0.8024 0.1339
Ge3 Ge 0.2482 0.2001 0.7879
Ge4 Ge 0.2575 0.8028 0.6322
Ge5 Ge 0.3928 0.2072 0.2836
Ge6 Ge 0.4957 0.5008 0.7475
O1 O 0.0083 0.5902 0.5924
O2 O 0.0656 0.4033 0.1375
O3 O 0.0707 0.9160 0.6478
O4 O 0.1038 0.0923 0.8624
O5 O 0.1190 0.6362 0.2660
O6 O 0.1370 0.7584 0.9881
O7 O 0.1870 0.3716 0.8341
O8 O 0.2308 0.9102 0.1634
O9 O 0.2467 0.7570 0.4870
O10 O 0.2492 0.2407 0.6205
O11 O 0.2583 0.0976 0.3533
O12 O 0.3108 0.6350 0.7642
O13 O 0.3735 0.3756 0.3330
O14 O 0.3839 0.2456 0.1167
O15 O 0.4115 0.9037 0.6428
O16 O 0.4350 0.0941 0.8614
O17 O 0.4519 0.5929 0.0925
O18 O 0.4841 0.4046 0.6350
# - ΔE_f (raw): -2347.5 meV/atom
# - Total moment: 0.00 μB/f.u.
# - Crystal system: triclinic


# CaGeO3, optimized geometry, DFT GGA-PBEsol
data_CaGeO3
_chemical_formula_sum 'Ca12 Ge12 O36'
_cell_length_a 11.9014
_cell_length_b 6.8902
_cell_length_c 10.9579
_cell_angle_alpha 90.00
_cell_angle_beta 110.71
_cell_angle_gamma 90.00
_symmetry_space_group_name_H-M 'C 1 2/c 1'
_symmetry_Int_Tables_number 15
_symmetry_space_group_name_Hall '-C 2yc'
loop_
_atom_site_label
_atom_site_type_symbol
_atom_site_fract_x
_atom_site_fract_y
_atom_site_fract_z
Ca1 Ca 0.0856 0.2456 0.4993
Ca2 Ca 0.2500 0.2500 0.0000
Ge1 Ge 0.0000 0.1442 0.7500
Ge2 Ge 0.1354 0.4461 0.2456
O1 O 0.0000 0.3329 0.2500
O2 O 0.0538 0.0546 0.9060
O3 O 0.1244 0.4044 0.0863
O4 O 0.1247 0.2927 0.7484
O5 O 0.2331 0.3996 0.4006
# - ΔE_f (raw): -2326.9 meV/atom
# - Total moment: 0.00 μB/f.u.
# - Crystal system: monoclinic


no.,raw total energy (eV per atom)
1,-6.879
2,-4.935
3,-6.911
4,-6.891